Li2CeTm2In2: relaxed, PBE-GGA.

Output
Symmetry   R-3m, No. 166
Calculated formation energy   -0.172 eV per atom
V   180.1 Å³ per cell
Total DFT energy (no corrections)   -3.627 eV/atom

a = 4.9031 Å, b = 4.9031 Å, c = 9.1040 Å
α = 74.38°, β = 74.38°, γ = 60.00°
Last column: nearest neighbours and their distance in Å.
Element x y z (fractional)
In1 0.7405 0.7405 0.7784  3 Li 2.83
In2 0.2595 0.2595 0.2216  3 Li 2.83
Li1 0.4063 0.4063 0.7812  3 In 2.83
Li2 0.5937 0.5937 0.2188  3 In 2.83
Tm1 0.8710 0.8710 0.3869  4 In 3.17-3.39, 3 Li 3.18, 1 Ce 3.35, 3 Tm 3.44
Tm2 0.1290 0.1290 0.6131  4 In 3.17-3.39, 3 Li 3.18, 1 Ce 3.35, 3 Tm 3.44
Ce1 0.0000 0.0000 0.0000  2 Tm 3.35, 6 Li 3.41, 6 In 3.42